{
  "formula": "PdPbW2F",
  "functional": "PBE+U",
  "state": "optimized geometry",
  "cell": [[5.637, 0.000, 0.000], [0.000, 5.637, 0.000], [0.000, 0.000, 5.098]],
  "species": ["Pd", "Pb", "W", "W", "F"],
  "fractional_positions": [[0.000, 0.000, 0.000], [0.000, 0.000, 0.500], [0.000, 0.500, 0.500], [0.500, 0.000, 0.500], [0.500, 0.500, 0.000]],
  "dft_energy_ev_per_atom": -3.4935,
  "total_magnetization_mub_per_fu": 7.25,
  "spacegroup": "P4/mmm (123)",
  "crystal_system": "tetragonal"
}